A relaxed Ir5Au crystal. Source: Alexandria, functional GGA-PBE.

abc: 7.3499 7.3499 4.5446
angles: 90.00 90.00 158.33
Fractional positions:
Ir  0.8867  0.1133  0.5000
Ir  0.2208  0.7792  0.5000
Ir  0.3295  0.6705  0.0000
Ir  0.5596  0.4404  0.5000
Ir  0.6712  0.3288  0.0000
Au  0.9990  0.0010  0.0000

Its energy above the lowest structure with this stoichiometry is 19.3 meV/atom. Its density of states at the Fermi level is 7.2 states/eV per cell.